Entry 1:
## Sb8Te3 (GGA-PBE)

Data for an optimized crystal structure of Sb8Te3.

Unit cell a=21.630 b=21.630 c=21.630 alpha=11.65 beta=11.65 gamma=11.65
Fractional coordinates of all 11 atoms:
Sb 0.364 0.364 0.364
Sb 0.636 0.636 0.636
Sb 0.096 0.096 0.096
Sb 0.904 0.904 0.904
Sb 0.452 0.452 0.452
Sb 0.548 0.548 0.548
Sb 0.822 0.822 0.822
Sb 0.178 0.178 0.178
Te 0.000 0.000 0.000
Te 0.723 0.723 0.723
Te 0.277 0.277 0.277

As for the spin magnetization: 0.00 Bohr magnetons per cell. As for the space-group type: R-3m, No. 166. For the formation energy (no corrections), the calculation gives -0.0708 eV/atom.


Entry 2:
## Sb3Te (GGA-PBE)

Data for an optimized crystal structure of Sb3Te.

Unit cell a=7.036 b=7.036 c=5.444 alpha=90.00 beta=90.00 gamma=120.00
Fractional coordinates of all 8 atoms:
Sb 0.853 0.705 0.250
Sb 0.295 0.147 0.250
Sb 0.853 0.147 0.250
Sb 0.147 0.295 0.750
Sb 0.705 0.853 0.750
Sb 0.147 0.853 0.750
Te 0.333 0.667 0.250
Te 0.667 0.333 0.750

As for the spin magnetization: 0.00 Bohr magnetons per cell. As for the space-group type: P6_3/mmc, No. 194. As for the polymorph energy (0 for the lowest one): 22.4 kJ/mol of atoms. For the formation energy (no corrections), the calculation gives 0.2462 eV/atom.


Entry 3:
## SbTe2 (GGA-PBE)

Data for an optimized crystal structure of SbTe2.

Unit cell a=6.341 b=6.341 c=6.341 alpha=144.37 beta=144.37 gamma=51.27
Fractional coordinates of all 3 atoms:
Sb 0.500 0.500 0.000
Te 0.154 0.154 0.000
Te 0.846 0.846 0.000

As for the spin magnetization: 0.00 Bohr magnetons per cell. As for the space-group type: I4/mmm, No. 139. As for the polymorph energy (0 for the lowest one): 23.9 kJ/mol of atoms. For the formation energy (no corrections), the calculation gives 0.2073 eV/atom.


Entry 4:
## Sb3Te (GGA-PBE)

Data for an optimized crystal structure of Sb3Te.

Unit cell a=4.171 b=4.171 c=8.202 alpha=90.00 beta=90.00 gamma=120.00
Fractional coordinates of all 4 atoms:
Sb 0.000 0.000 0.010
Sb 0.000 0.000 0.490
Sb 0.667 0.333 0.250
Te 0.667 0.333 0.750

As for the spin magnetization: 0.00 Bohr magnetons per cell. As for the space-group type: P-6m2, No. 187. As for the polymorph energy (0 for the lowest one): 10.9 kJ/mol of atoms. For the formation energy (no corrections), the calculation gives 0.1274 eV/atom.


Entry 5:
## SbTe5 (GGA-PBE)

Data for an optimized crystal structure of SbTe5.

Unit cell a=6.332 b=6.332 c=6.028 alpha=90.00 beta=90.00 gamma=133.67
Fractional coordinates of all 6 atoms:
Sb 0.500 0.500 0.000
Te 0.336 0.664 0.500
Te 0.160 0.840 0.000
Te 0.000 0.000 0.500
Te 0.840 0.160 0.000
Te 0.664 0.336 0.500

As for the spin magnetization: 0.00 Bohr magnetons per cell. As for the space-group type: Cmmm, No. 65. As for the polymorph energy (0 for the lowest one): 24.3 kJ/mol of atoms. For the formation energy (no corrections), the calculation gives 0.2596 eV/atom.


Entry 6:
## Sb4Te (GGA-PBE)

Data for an optimized crystal structure of Sb4Te.

Unit cell a=6.057 b=6.057 c=6.057 alpha=109.47 beta=109.47 gamma=109.47
Fractional coordinates of all 5 atoms:
Sb 0.500 0.000 0.000
Sb 0.500 0.500 0.500
Sb 0.000 0.500 0.000
Sb 0.000 0.000 0.500
Te 0.000 0.000 0.000

As for the spin magnetization: 0.00 Bohr magnetons per cell. As for the space-group type: Im-3m, No. 229. As for the polymorph energy (0 for the lowest one): 31.7 kJ/mol of atoms. For the formation energy (no corrections), the calculation gives 0.4623 eV/atom.


Entry 7:
## SbTe2 (GGA-PBE)

Data for an optimized crystal structure of SbTe2.

Unit cell a=4.381 b=4.381 c=5.799 alpha=90.00 beta=90.00 gamma=120.00
Fractional coordinates of all 3 atoms:
Sb 0.000 0.000 0.000
Te 0.667 0.333 0.691
Te 0.333 0.667 0.309

As for the spin magnetization: 0.00 Bohr magnetons per cell. As for the space-group type: P-3m1, No. 164. As for the polymorph energy (0 for the lowest one): 0.0 kJ/mol of atoms. For the formation energy (no corrections), the calculation gives -0.0404 eV/atom.


Entry 8:
## Sb3Te (GGA-PBE)

Data for an optimized crystal structure of Sb3Te.

Unit cell a=5.443 b=5.443 c=3.716 alpha=90.00 beta=90.00 gamma=90.05
Fractional coordinates of all 4 atoms:
Sb 0.000 0.500 0.500
Sb 0.500 0.000 0.500
Sb 0.500 0.500 0.000
Te 0.000 0.000 0.000

As for the spin magnetization: 0.00 Bohr magnetons per cell. As for the space-group type: P4/mmm, No. 123. As for the polymorph energy (0 for the lowest one): 20.0 kJ/mol of atoms. For the formation energy (no corrections), the calculation gives 0.2213 eV/atom.


Entry 9:
## Sb5Te3 (GGA-PBE)

Data for an optimized crystal structure of Sb5Te3.

Unit cell a=9.284 b=9.284 c=6.400 alpha=90.00 beta=90.00 gamma=120.00
Fractional coordinates of all 16 atoms:
Sb 0.333 0.667 0.000
Sb 0.667 0.333 0.500
Sb 0.667 0.333 0.000
Sb 0.333 0.667 0.500
Sb 0.191 0.000 0.250
Sb 0.809 0.000 0.750
Sb 0.000 0.191 0.250
Sb 0.809 0.809 0.250
Sb 0.191 0.191 0.750
Sb 0.000 0.809 0.750
Te 0.604 0.000 0.250
Te 0.396 0.000 0.750
Te 0.000 0.604 0.250
Te 0.396 0.396 0.250
Te 0.604 0.604 0.750
Te 0.000 0.396 0.750

As for the spin magnetization: 0.00 Bohr magnetons per cell. As for the space-group type: P6_3/mcm, No. 193. For the formation energy (no corrections), the calculation gives 0.3102 eV/atom.


Entry 10:
## Sb3Te (GGA-PBE)

Data for an optimized crystal structure of Sb3Te.

Unit cell a=3.286 b=3.286 c=10.873 alpha=90.00 beta=90.00 gamma=109.67
Fractional coordinates of all 4 atoms:
Sb 0.000 0.000 0.993
Sb 0.500 0.500 0.750
Sb 0.000 0.000 0.507
Te 0.500 0.500 0.250

As for the spin magnetization: 0.00 Bohr magnetons per cell. As for the space-group type: Cmmm, No. 65. As for the polymorph energy (0 for the lowest one): 21.3 kJ/mol of atoms. For the formation energy (no corrections), the calculation gives 0.2345 eV/atom.


Entry 11:
## SbTe5 (GGA-PBE)

Data for an optimized crystal structure of SbTe5.

Unit cell a=6.149 b=6.149 c=9.149 alpha=86.22 beta=86.22 gamma=37.47
Fractional coordinates of all 6 atoms:
Sb 0.971 0.971 0.963
Te 0.365 0.365 0.398
Te 0.660 0.660 0.706
Te 0.558 0.558 0.205
Te 0.996 0.996 0.603
Te 0.284 0.284 0.957

As for the spin magnetization: 0.00 Bohr magnetons per cell. As for the space-group type: Cm, No. 8. As for the polymorph energy (0 for the lowest one): 9.0 kJ/mol of atoms. For the formation energy (no corrections), the calculation gives 0.1013 eV/atom.


Entry 12:
## SbTe2 (GGA-PBE)

Data for an optimized crystal structure of SbTe2.

Unit cell a=4.351 b=5.404 c=8.531 alpha=90.00 beta=90.00 gamma=90.00
Fractional coordinates of all 6 atoms:
Sb 0.000 0.000 0.000
Sb 0.500 0.500 0.500
Te 0.000 0.155 0.647
Te 0.000 0.845 0.353
Te 0.500 0.655 0.853
Te 0.500 0.345 0.147

As for the spin magnetization: 0.00 Bohr magnetons per cell. As for the space-group type: Pnnm, No. 58. As for the polymorph energy (0 for the lowest one): 8.9 kJ/mol of atoms. For the formation energy (no corrections), the calculation gives 0.0514 eV/atom.